Computed, not measured: Hf4Mn3Os after structural relaxation at the PBE level of DFT.

Lattice parameters (Å, degrees): 3.1936 3.1936 12.7601 90.00 90.00 90.00
Last column: nearest neighbours and their distance in Å.
Element x y z (fractional)
Hf (0.0000, 0.0000, 0.1242)  8 Mn 2.74-2.76
Hf (0.0000, 0.0000, 0.3705)  4 Mn 2.76, 4 Os 2.80
Hf (0.0000, 0.0000, 0.6295)  4 Mn 2.76, 4 Os 2.80
Hf (0.0000, 0.0000, 0.8758)  8 Mn 2.74-2.76
Mn (0.5000, 0.5000, 0.0000)  8 Hf 2.76
Mn (0.5000, 0.5000, 0.2456)  8 Hf 2.74-2.76
Mn (0.5000, 0.5000, 0.7544)  8 Hf 2.74-2.76
Os (0.5000, 0.5000, 0.5000)  8 Hf 2.80

## Properties
- E_tot (eV/atom) = -10.101
- formation energy from the elements (eV/f.u.) = -2.3